# TbPr2HoEr2

A relaxed structure of TbPr2HoEr2 (PBE, Alexandria via LeMat-Bulk).

Cell and atoms, written as CIF:
```
data_TbPr2HoEr2
_chemical_formula_sum 'Tb2 Pr4 Ho2 Er4'
_space_group_name_H-M_alt 'P m c 21'
_space_group_IT_number 26
_space_group_name_Hall 'P 2c -2'
_cell_length_a 5.6659
_cell_length_b 9.8307
_cell_length_c 7.0238
_cell_angle_alpha 90.00
_cell_angle_beta 90.00
_cell_angle_gamma 90.00
loop_
_atom_site_label
_atom_site_fract_x
_atom_site_fract_y
_atom_site_fract_z
Tb1 0.0000 0.0003 0.0000
Pr1 0.0000 0.3248 0.2505
Pr2 0.5000 0.4995 0.0002
Ho1 0.5000 0.1611 0.7498
Er1 0.0000 0.3350 0.7501
Er2 0.5000 0.1657 0.2501
```

Calculated formation energy in eV per atom: 0.070
V in Å³/f.u.: 195.6